[1]
Tl12Hg5Te2: optimized geometry, PBE.

It has space group C2/m (No. 12), with a = 15.106 Å, b = 9.754 Å, c = 9.111 Å, α = 90.00°, β = 113.95° and γ = 90.00°. The distinct sites, in fractional coordinates, are Tl at (0.038, 0.000, 0.286), Tl at (0.128, 0.310, 0.883), Tl at (0.152, 0.296, 0.286), Tl at (0.177, 0.500, 0.594), Hg at (0.000, 0.500, 0.000), Hg at (0.173, 0.000, 0.029), Hg at (0.178, 0.000, 0.682) and Te at (0.000, 0.266, 0.500).

The calculated total energy is -73.92 eV per cell. The calculation puts the uncorrected formation energy at -0.041 eV per atom. As for the calculated volume: 1226.73 Å³ per cell.



[2]
Dy2ZrHg6: optimized geometry, PBE.

It has space group C2/c (No. 15), with a = 14.208 Å, b = 11.520 Å, c = 5.369 Å, α = 90.00°, β = 99.98° and γ = 90.00°. The distinct sites, in fractional coordinates, are Dy at (0.166, 0.124, 0.082), Zr at (0.000, 0.389, 0.250), Hg at (0.056, 0.133, 0.526), Hg at (0.109, 0.372, 0.803) and Hg at (0.217, 0.376, 0.361).

The calculated total energy is -87.38 eV per cell. As for the calculated volume: 865.44 Å³ per cell. For the formation energy, the calculation gives -0.2536 eV/atom.